# 1
Ti2InAu: relaxed, PBE-GGA.

As for the formation energy: -0.255 eV per atom. The density of states at the Fermi level is 3.828 states/eV per cell. Its space group is Pmmm.

a b c (Å): 3.0149 4.0828 5.8864
angles (deg): 90.00 90.00 90.00
With the nearest neighbours (Å) after each atom.
Sites, in units of the cell vectors:
Ti 0.0000 0.0000 0.2385  4 Ti 2.81-3.08, 4 Au 2.90, 4 In 2.97
Ti 0.0000 0.0000 0.7615  4 Ti 2.81-3.08, 4 Au 2.90, 4 In 2.97
In 0.5000 0.5000 0.5000  2 Au 2.94, 8 Ti 2.97, 2 In 3.01
Au 0.5000 0.5000 0.0000  8 Ti 2.90, 2 In 2.94, 2 Au 3.01



# 2
Ti2InAu: relaxed, PBE-GGA.

As for the formation energy: -0.277 eV per atom. The density of states at the Fermi level is 3.965 states/eV per cell. Its space group is P4/mmm.

a b c (Å): 4.1487 4.1487 4.2047
angles (deg): 90.00 90.00 90.00
With the nearest neighbours (Å) after each atom.
Sites, in units of the cell vectors:
Ti 0.0000 0.5000 0.0000  4 Ti 2.93, 4 In 2.95, 4 Au 2.95
Ti 0.5000 0.0000 0.0000  4 Ti 2.93, 4 In 2.95, 4 Au 2.95
In 0.0000 0.0000 0.5000  4 Au 2.93, 8 Ti 2.95
Au 0.5000 0.5000 0.5000  4 In 2.93, 8 Ti 2.95



# 3
Ti4InAu: relaxed, PBE-GGA.

As for the formation energy: -0.250 eV per atom. The density of states at the Fermi level is 3.905 states/eV per cell. The energy above the most stable polymorph in this dataset is 0.0 meV/atom. Its space group is Cmmm.

a b c (Å): 6.8633 6.8633 4.0408
angles (deg): 90.00 90.00 145.84
With the nearest neighbours (Å) after each atom.
Sites, in units of the cell vectors:
Ti 0.1743 0.8257 0.0000  8 Ti 2.83-2.85, 2 Au 3.05, 2 In 3.05
Ti 0.3260 0.6740 0.5000  8 Ti 2.84-2.85, 2 In 3.05, 2 Au 3.05
Ti 0.6740 0.3260 0.5000  8 Ti 2.84-2.85, 2 In 3.05, 2 Au 3.05
Ti 0.8257 0.1743 0.0000  8 Ti 2.83-2.85, 2 Au 3.05, 2 In 3.05
In 0.0000 0.0000 0.5000  4 Au 2.85, 8 Ti 3.05
Au 0.5000 0.5000 0.0000  4 In 2.85, 8 Ti 3.05



# 4
Ti2InAu: relaxed, PBE-GGA.

As for the formation energy: 0.144 eV per atom. The density of states at the Fermi level is 5.429 states/eV per cell. Its space group is R3m.

a b c (Å): 6.4601 6.4601 6.4601
angles (deg): 36.72 36.72 36.72
With the nearest neighbours (Å) after each atom.
Sites, in units of the cell vectors:
Ti 0.0000 0.0000 0.0000  3 Au 2.68, 3 In 2.93
Ti 0.2025 0.2025 0.2025  3 Au 2.59
In 0.4299 0.4299 0.4299  6 Ti 2.93-3.03, 1 Au 2.99
Au 0.5957 0.5957 0.5957  6 Ti 2.59-2.68



# 5
TiIn3Au: relaxed, PBE-GGA.

As for the formation energy: 0.671 eV per atom. The density of states at the Fermi level is 6.071 states/eV per cell. The energy above the most stable polymorph in this dataset is 11.5 meV/atom. Its space group is Pm-3m.

a b c (Å): 5.3434 5.3434 5.3434
angles (deg): 90.00 90.00 90.00
With the nearest neighbours (Å) after each atom.
Sites, in units of the cell vectors:
Ti 0.0000 0.0000 0.0000  6 In 2.67
In 0.0000 0.0000 0.5000  2 Ti 2.67
In 0.0000 0.5000 0.0000  2 Ti 2.67
In 0.5000 0.0000 0.0000  2 Ti 2.67
Au 0.5000 0.5000 0.5000  12 In 3.78



# 6
TiIn2Au6: relaxed, PBE-GGA.

As for the formation energy: -0.178 eV per atom. The density of states at the Fermi level is 3.671 states/eV per cell. Its space group is C2/m.

a b c (Å): 8.1504 8.1504 4.9805
angles (deg): 98.87 98.87 143.70
With the nearest neighbours (Å) after each atom.
Sites, in units of the cell vectors:
Ti 0.0000 0.0000 0.0000  10 Au 2.88-2.94
In 0.1642 0.8358 0.5000  10 Au 2.87-3.07
In 0.8358 0.1642 0.5000  10 Au 2.87-3.07
Au 0.1622 0.4854 0.1621  5 Au 2.86-3.08, 4 In 2.87-3.07, 1 Ti 2.88
Au 0.3326 0.3326 0.6662  3 Ti 2.88-2.94, 5 Au 2.89-2.93, 2 In 2.94
Au 0.4854 0.1622 0.1621  5 Au 2.86-3.08, 4 In 2.87-3.07, 1 Ti 2.88
Au 0.5146 0.8378 0.8379  5 Au 2.86-3.08, 4 In 2.87-3.07, 1 Ti 2.88
Au 0.6674 0.6674 0.3338  3 Ti 2.88-2.94, 5 Au 2.89-2.93, 2 In 2.94
Au 0.8378 0.5146 0.8379  5 Au 2.86-3.08, 4 In 2.87-3.07, 1 Ti 2.88



# 7
Ti12In3Au: relaxed, PBE-GGA.

As for the formation energy: -0.147 eV per atom. The density of states at the Fermi level is 19.519 states/eV per cell. Its space group is P4/mmm.

a b c (Å): 4.1336 4.1336 16.5753
angles (deg): 90.00 90.00 90.00
With the nearest neighbours (Å) after each atom.
Sites, in units of the cell vectors:
Ti 0.0000 0.0000 0.0000  8 Ti 2.88, 4 Au 2.92
Ti 0.0000 0.0000 0.2454  8 Ti 2.92-2.97, 4 In 2.92
Ti 0.0000 0.0000 0.5000  4 In 2.92, 8 Ti 2.94
Ti 0.0000 0.0000 0.7546  8 Ti 2.92-2.97, 4 In 2.92
Ti 0.0000 0.5000 0.1213  8 Ti 2.88-2.92, 2 Au 2.88, 2 In 2.93
Ti 0.0000 0.5000 0.3741  8 Ti 2.92-2.97, 4 In 2.94-2.95
Ti 0.0000 0.5000 0.6259  8 Ti 2.92-2.97, 4 In 2.94-2.95
Ti 0.0000 0.5000 0.8787  8 Ti 2.88-2.92, 2 Au 2.88, 2 In 2.93
Ti 0.5000 0.0000 0.1213  8 Ti 2.88-2.92, 2 Au 2.88, 2 In 2.93
Ti 0.5000 0.0000 0.3741  8 Ti 2.92-2.97, 4 In 2.94-2.95
Ti 0.5000 0.0000 0.6259  8 Ti 2.92-2.97, 4 In 2.94-2.95
Ti 0.5000 0.0000 0.8787  8 Ti 2.88-2.92, 2 Au 2.88, 2 In 2.93
In 0.5000 0.5000 0.2469  12 Ti 2.92-2.95
In 0.5000 0.5000 0.5000  12 Ti 2.92-2.94
In 0.5000 0.5000 0.7531  12 Ti 2.92-2.95
Au 0.5000 0.5000 0.0000  12 Ti 2.88-2.92



# 8
Ti6In2Au: relaxed, PBE-GGA.

As for the formation energy: 0.342 eV per atom. The density of states at the Fermi level is 11.338 states/eV per cell. Its space group is C2/m.

a b c (Å): 7.3867 7.3867 4.3563
angles (deg): 98.13 98.13 55.13
With the nearest neighbours (Å) after each atom.
Sites, in units of the cell vectors:
Ti 0.0740 0.5959 0.3551  1 Au 2.70, 2 Ti 2.73-2.85, 3 In 2.81-2.83
Ti 0.2305 0.7695 0.0000  2 Au 2.69, 2 In 2.81, 2 Ti 2.85
Ti 0.4041 0.9260 0.6449  1 Au 2.70, 2 Ti 2.73-2.85, 3 In 2.81-2.83
Ti 0.5959 0.0740 0.3551  1 Au 2.70, 2 Ti 2.73-2.85, 3 In 2.81-2.83
Ti 0.7695 0.2305 0.0000  2 Au 2.69, 2 In 2.81, 2 Ti 2.85
Ti 0.9260 0.4041 0.6449  1 Au 2.70, 2 Ti 2.73-2.85, 3 In 2.81-2.83
In 0.3376 0.3376 0.8592  8 Ti 2.81-2.83
In 0.6624 0.6624 0.1408  8 Ti 2.81-2.83
Au 0.0000 0.0000 0.5000  8 Ti 2.69-2.70



# 9
Ti6InAu: relaxed, PBE-GGA.

As for the formation energy: -0.142 eV per atom. The density of states at the Fermi level is 15.217 states/eV per cell. Its space group is P-6m2.

a b c (Å): 5.7959 5.7959 4.8165
angles (deg): 90.00 90.00 120.00
With the nearest neighbours (Å) after each atom.
Sites, in units of the cell vectors:
Ti 0.0006 0.5003 0.0000  8 Ti 2.89-2.93, 2 In 2.90, 2 Au 2.93
Ti 0.1659 0.3317 0.5000  8 Ti 2.88-2.93, 2 Au 2.90, 2 In 2.93
Ti 0.1659 0.8341 0.5000  8 Ti 2.88-2.93, 2 Au 2.90, 2 In 2.93
Ti 0.4997 0.5003 0.0000  8 Ti 2.89-2.93, 2 In 2.90, 2 Au 2.93
Ti 0.4997 0.9994 0.0000  8 Ti 2.89-2.93, 2 In 2.90, 2 Au 2.93
Ti 0.6683 0.8341 0.5000  8 Ti 2.88-2.93, 2 Au 2.90, 2 In 2.93
In 0.0000 0.0000 0.0000  12 Ti 2.90-2.93
Au 0.6667 0.3333 0.5000  12 Ti 2.90-2.93



# 10
Ti4In3Au: relaxed, PBE-GGA.

As for the formation energy: -0.206 eV per atom. The density of states at the Fermi level is 7.914 states/eV per cell. The energy above the most stable polymorph in this dataset is 0.0 meV/atom. Its space group is P4/mmm.

a b c (Å): 2.9921 2.9921 16.6547
angles (deg): 90.00 90.00 90.00
With the nearest neighbours (Å) after each atom.
Sites, in units of the cell vectors:
Ti 0.0000 0.0000 0.1145  4 Au 2.85, 4 Ti 2.99, 4 In 3.01
Ti 0.0000 0.0000 0.3716  4 Ti 2.99, 8 In 3.01
Ti 0.0000 0.0000 0.6284  4 Ti 2.99, 8 In 3.01
Ti 0.0000 0.0000 0.8855  4 Au 2.85, 4 Ti 2.99, 4 In 3.01
In 0.5000 0.5000 0.2430  4 In 2.99, 8 Ti 3.01
In 0.5000 0.5000 0.5000  4 In 2.99, 8 Ti 3.01
In 0.5000 0.5000 0.7570  4 In 2.99, 8 Ti 3.01
Au 0.5000 0.5000 0.0000  8 Ti 2.85, 4 Au 2.99



# 11
Ti2In4Au: relaxed, PBE-GGA.

As for the formation energy: -0.068 eV per atom. The density of states at the Fermi level is 6.279 states/eV per cell. Its space group is I4/mmm.

a b c (Å): 5.8598 5.8598 5.8598
angles (deg): 107.24 107.24 114.04
With the nearest neighbours (Å) after each atom.
Sites, in units of the cell vectors:
Ti 0.0000 0.5000 0.5000  8 In 2.93, 2 Ti 3.19
Ti 0.5000 0.0000 0.5000  8 In 2.93, 2 Ti 3.19
In 0.0000 0.0000 0.5000  4 Ti 2.93, 2 Au 2.93, 2 In 3.19
In 0.0000 0.5000 0.0000  4 Ti 2.93, 2 Au 2.93, 2 In 3.19
In 0.5000 0.0000 0.0000  4 Ti 2.93, 2 Au 2.93, 2 In 3.19
In 0.5000 0.5000 0.5000  4 Ti 2.93, 2 Au 2.93, 2 In 3.19
Au 0.0000 0.0000 0.0000  8 In 2.93



# 12
TiIn3Au: relaxed, PBE-GGA.

As for the formation energy: 0.659 eV per atom. The density of states at the Fermi level is 7.315 states/eV per cell. The energy above the most stable polymorph in this dataset is 0.0 meV/atom. Its space group is Pm-3m.

a b c (Å): 5.2305 5.2305 5.2305
angles (deg): 90.00 90.00 90.00
With the nearest neighbours (Å) after each atom.
Sites, in units of the cell vectors:
Ti 0.0000 0.0000 0.0000  12 In 3.70
In 0.0000 0.5000 0.5000  2 Au 2.62
In 0.5000 0.0000 0.5000  2 Au 2.62
In 0.5000 0.5000 0.0000  2 Au 2.62
Au 0.5000 0.5000 0.5000  6 In 2.62